1.
Material: PmHo2Ni
Method: DFT, GGA-PBE
State: optimized geometry

Values from the calculation:
Theoretical density ... 7.97 g/cm3
Space group ... R-3m
Polymorph energy (0 for the lowest one) ... 0.136 eV/atom
Raw total energy ... -5.019 eV per atom

extended XYZ file:
```
4
Lattice="-1.806 -2.606 1.909 1.158 -3.513 -0.114 5.318 -0.456 7.996" Properties=species:S:1:pos:R:3 pbc="T T T"
Ni 0.000 0.000 0.000
Ho 0.762 -1.760 1.905
Ho 3.909 -4.815 7.886
Pm 2.335 -3.288 4.895
```


2.
Material: PmHoNi2
Method: DFT, GGA-PBE
State: optimized geometry

Values from the calculation:
Theoretical density ... 8.61 g/cm3
Space group ... Amm2
Polymorph energy (0 for the lowest one) ... 0.000 eV/atom
Raw total energy ... -5.628 eV per atom

extended XYZ file:
```
4
Lattice="3.777 0.000 -0.024 0.000 4.248 0.000 -1.854 0.000 5.151" Properties=species:S:1:pos:R:3 pbc="T T T"
Pm 0.903 0.000 5.064
Ho 0.886 2.124 2.211
Ni -0.989 2.124 4.340
Ni -0.998 0.000 2.868
```


3.
Material: Pm2Ho6Ni
Method: DFT, GGA-PBE
State: optimized geometry

Values from the calculation:
Theoretical density ... 7.88 g/cm3
Space group ... Cmmm
Raw total energy ... -4.636 eV per atom

extended XYZ file:
```
9
Lattice="-3.429 0.916 -0.487 -1.287 -7.550 -5.139 -1.519 -0.616 9.562" Properties=species:S:1:pos:R:3 pbc="T T T"
Pm -3.086 -4.798 -0.454
Pm -3.149 -2.452 4.391
Ho -0.933 -2.717 1.458
Ho -4.446 0.492 5.899
Ho -5.302 -4.533 2.479
Ho -1.989 -1.156 -1.342
Ho -1.789 -7.742 -1.962
Ho -2.726 -5.479 -4.284
Ni 0.000 0.000 0.000
```


4.
Material: Pm2HoNi
Method: DFT, GGA-PBE
State: optimized geometry

Values from the calculation:
Theoretical density ... 7.30 g/cm3
Space group ... Pnna
Polymorph energy (0 for the lowest one) ... 0.119 eV/atom
Raw total energy ... -5.051 eV per atom

extended XYZ file:
```
16
Lattice="-4.091 3.854 3.011 1.759 -2.567 5.677 8.116 7.817 1.021" Properties=species:S:1:pos:R:3 pbc="T T T"
Pm 5.913 7.722 8.408
Pm -0.128 1.382 1.301
Pm 4.728 4.085 4.709
Pm 1.056 5.019 5.000
Pm -1.677 2.543 4.725
Pm 7.462 6.561 4.984
Pm 2.442 4.012 1.693
Pm 3.343 5.092 8.016
Ho 2.014 1.449 4.255
Ho 3.770 7.655 5.454
Ho 0.593 2.464 7.782
Ho 5.191 6.640 1.927
Ni 1.135 7.822 5.032
Ni 4.650 1.282 4.677
Ni 5.780 8.399 3.854
Ni 0.004 0.705 5.855
```


5.
Material: Pm3Ho3Ni4
Method: DFT, GGA-PBE
State: optimized geometry

Values from the calculation:
Theoretical density ... 8.57 g/cm3
Space group ... Amm2
Raw total energy ... -5.395 eV per atom

extended XYZ file:
```
10
Lattice="-1.027 -3.628 0.967 5.494 -0.151 5.269 -4.796 2.754 5.233" Properties=species:S:1:pos:R:3 pbc="T T T"
Pm 3.276 -1.484 5.747
Pm -0.296 -0.942 3.985
Pm -0.064 -0.074 7.484
Ho -2.071 2.678 7.843
Ho -2.417 1.389 2.641
Ho -3.582 0.452 5.723
Ni 1.595 0.950 5.255
Ni -0.971 1.674 5.246
Ni 0.674 2.276 9.251
Ni 0.143 0.293 1.251
```


6.
Material: Pm2Ho5Ni4
Method: DFT, GGA-PBE
State: optimized geometry

Values from the calculation:
Theoretical density ... 7.93 g/cm3
Space group ... C2/m
Raw total energy ... -5.151 eV per atom

extended XYZ file:
```
11
Lattice="3.568 0.000 0.000 0.000 6.471 -2.083 -1.784 -7.011 14.496" Properties=species:S:1:pos:R:3 pbc="T T T"
Pm 0.000 2.978 1.130
Pm 1.784 -3.518 11.282
Ho 0.000 -2.211 6.404
Ho 1.784 1.671 6.008
Ho 0.000 0.186 3.232
Ho 1.784 0.000 0.000
Ho 1.784 -0.726 9.180
Ni 1.784 2.311 3.302
Ni 0.000 4.847 -0.827
Ni 0.000 -2.852 9.110
Ni 1.784 -5.387 13.240
```


7.
Material: Pm2HoNi
Method: DFT, GGA-PBE
State: optimized geometry

Values from the calculation:
Theoretical density ... 7.10 g/cm3
Space group ... R-3m
Polymorph energy (0 for the lowest one) ... 0.337 eV/atom
Raw total energy ... -4.833 eV per atom

extended XYZ file:
```
4
Lattice="3.642 0.000 0.000 1.821 3.154 0.000 1.821 1.051 10.453" Properties=species:S:1:pos:R:3 pbc="T T T"
Ni 3.642 2.103 5.226
Ho 0.000 0.000 0.000
Pm 1.821 1.051 6.998
Pm 5.463 3.154 3.455
```


8.
Material: Pm2HoNi
Method: DFT, GGA-PBE
State: optimized geometry

Values from the calculation:
Theoretical density ... 7.82 g/cm3
Space group ... Pnma
Polymorph energy (0 for the lowest one) ... 0.000 eV/atom
Raw total energy ... -5.170 eV per atom

extended XYZ file:
```
16
Lattice="-0.378 -6.127 1.659 1.227 -1.856 -6.573 9.715 -0.101 1.842" Properties=species:S:1:pos:R:3 pbc="T T T"
Pm 1.413 -2.346 -4.055
Pm 4.311 -2.364 0.154
Pm 5.584 -5.700 0.308
Pm 9.821 -5.757 -2.548
Pm 9.152 -5.737 0.984
Pm 6.253 -5.720 -3.225
Pm 4.981 -2.383 -3.379
Pm 0.743 -2.327 -0.523
Ho 2.842 -5.001 -1.988
Ho 2.152 -5.304 1.632
Ho 7.723 -3.083 -1.083
Ho 8.412 -2.780 -4.703
Ni 2.884 -1.077 -1.996
Ni 3.349 -4.403 -4.633
Ni 7.681 -7.007 -1.075
Ni 7.215 -3.681 1.562
```


9.
Material: PmHoNiPt
Method: DFT, GGA-PBE
State: optimized geometry

Values from the calculation:
Theoretical density ... 11.05 g/cm3
Space group ... F-43m
Polymorph energy (0 for the lowest one) ... 0.082 eV/atom
Raw total energy ... -6.026 eV per atom

extended XYZ file:
```
4
Lattice="-3.353 2.522 -2.590 -4.008 1.794 2.242 -0.483 4.861 0.667" Properties=species:S:1:pos:R:3 pbc="T T T"
Ni -1.961 2.294 0.080
Ho -3.922 4.589 0.159
Pt -5.883 6.883 0.239
Pm 0.000 0.000 0.000
```


10.
Material: PmHoNiPt
Method: DFT, GGA-PBE
State: optimized geometry

Values from the calculation:
Theoretical density ... 10.65 g/cm3
Space group ... Amm2
Polymorph energy (0 for the lowest one) ... 0.000 eV/atom
Raw total energy ... -6.108 eV per atom

extended XYZ file:
```
4
Lattice="3.872 0.000 0.000 0.000 4.413 0.000 -1.936 0.000 5.145" Properties=species:S:1:pos:R:3 pbc="T T T"
Pm 0.000 0.000 1.466
Ho 1.936 2.207 3.727
Ni 0.000 0.000 4.321
Pt 1.936 2.207 0.776
```


11.
Material: PmHoNiRu
Method: DFT, GGA-PBE
State: optimized geometry

Values from the calculation:
Theoretical density ... 9.66 g/cm3
Space group ... P4mm
Polymorph energy (0 for the lowest one) ... 0.000 eV/atom
Raw total energy ... -6.429 eV per atom

extended XYZ file:
```
4
Lattice="-3.045 -1.521 0.332 1.542 -3.046 0.190 0.426 0.644 6.858" Properties=species:S:1:pos:R:3 pbc="T T T"
Pm 0.366 0.553 5.895
Ho 0.152 0.230 2.448
Ni -0.499 -1.902 4.327
Ru -0.701 -2.207 1.072
```


12.
Material: PmHoNiRu
Method: DFT, GGA-PBE
State: optimized geometry

Values from the calculation:
Theoretical density ... 9.66 g/cm3
Space group ... F-43m
Polymorph energy (0 for the lowest one) ... 0.024 eV/atom
Raw total energy ... -6.405 eV per atom

extended XYZ file:
```
4
Lattice="4.852 0.000 0.000 2.426 4.202 0.000 2.426 1.401 3.961" Properties=species:S:1:pos:R:3 pbc="T T T"
Ru 7.278 4.202 2.971
Ni 2.426 1.401 0.990
Ho 4.852 2.801 1.981
Pm 0.000 0.000 0.000
```


13.
Material: PmHoSi2Ni2
Method: DFT, GGA-PBE
State: optimized geometry

Values from the calculation:
Theoretical density ... 7.17 g/cm3
Formation energy without anion corrections ... -442 kJ/mol of formula units
Space group ... P-3m1
Raw total energy ... -6.053 eV per atom

extended XYZ file:
```
6
Lattice="-2.155 1.634 -2.931 -0.431 -3.867 0.874 -5.848 1.858 5.335" Properties=species:S:1:pos:R:3 pbc="T T T"
Pm 0.000 0.000 0.000
Ho -2.924 0.929 2.668
Si -5.924 1.181 2.301
Si -2.510 -1.555 0.978
Ni -3.108 0.286 -0.269
Ni -5.326 -0.660 3.547
```


14.
Material: PmHoNiSn
Method: DFT, GGA-PBE
State: optimized geometry

Values from the calculation:
Theoretical density ... 8.35 g/cm3
Space group ... F-43m
Raw total energy ... -5.187 eV per atom

extended XYZ file:
```
4
Lattice="5.156 0.000 0.000 2.578 4.466 0.000 2.578 1.489 4.210" Properties=species:S:1:pos:R:3 pbc="T T T"
Ni 2.578 1.489 1.053
Ho 0.000 0.000 0.000
Sn 7.735 4.466 3.158
Pm 5.156 2.977 2.105
```


15.
Material: Pr2Ho2Ni15
Method: DFT, GGA-PBE
State: optimized geometry

Values from the calculation:
Theoretical density ... 9.14 g/cm3
Space group ... R-3m
Raw total energy ... -5.758 eV per atom

extended XYZ file:
```
19
Lattice="-5.862 -2.851 -0.280 1.617 -5.573 2.983 -2.024 1.617 5.988" Properties=species:S:1:pos:R:3 pbc="T T T"
Pr -2.245 -2.437 3.112
Pr -4.025 -4.370 5.580
Ho -0.693 -0.753 0.961
Ho -5.577 -6.055 7.731
Ni -2.931 -1.426 -0.140
Ni -1.012 0.809 2.994
Ni 0.808 -2.787 1.492
Ni 0.509 -3.385 3.898
Ni -3.587 -3.680 0.713
Ni -3.192 0.257 4.081
Ni -0.659 -4.745 1.991
Ni -4.694 -1.492 1.628
Ni -0.916 -0.571 5.074
Ni -1.230 -3.054 5.817
Ni -3.107 -5.239 2.751
Ni -4.888 -1.722 4.221
Ni -5.040 -3.754 2.876
Ni -3.163 -1.568 5.942
Ni -1.382 -5.085 4.472
```


16.
Material: PrHo2Ni9
Method: DFT, GGA-PBE
State: optimized geometry

Values from the calculation:
Theoretical density ... 9.44 g/cm3
Space group ... R-3m
Raw total energy ... -5.885 eV per atom

extended XYZ file:
```
12
Lattice="-1.681 2.262 4.135 -3.413 -2.261 2.878 4.229 -3.467 6.644" Properties=species:S:1:pos:R:3 pbc="T T T"
Pr 0.000 0.000 0.000
Ho -2.604 -1.456 8.821
Ho 1.740 -2.010 4.835
Ni 0.827 -3.462 11.314
Ni -1.691 -0.004 2.342
Ni -0.432 -1.733 6.828
Ni -1.059 -0.868 4.580
Ni -1.903 0.267 6.656
Ni -2.772 -2.003 6.025
Ni 0.194 -2.598 9.076
Ni 1.908 -1.463 7.632
Ni 1.038 -3.733 7.000
```


17.
Material: Pr2HoNi2
Method: DFT, GGA-PBE
State: optimized geometry

Values from the calculation:
Theoretical density ... 7.06 g/cm3
Space group ... Immm
Raw total energy ... -5.303 eV per atom

extended XYZ file:
```
5
Lattice="4.020 0.000 0.000 0.000 5.592 -0.611 -2.010 -2.164 6.140" Properties=species:S:1:pos:R:3 pbc="T T T"
Pr 0.000 0.418 3.881
Pr 2.010 3.010 1.648
Ho 0.000 0.000 0.000
Ni 2.010 0.204 1.846
Ni 0.000 3.225 3.683
```


18.
Material: PrHoNi10
Method: DFT, GGA-PBE
State: optimized geometry

Values from the calculation:
Theoretical density ... 8.91 g/cm3
Space group ... Pmmm
Raw total energy ... -5.893 eV per atom

extended XYZ file:
```
12
Lattice="-2.894 -2.631 0.636 -0.428 -0.703 -4.857 5.778 -6.260 0.397" Properties=species:S:1:pos:R:3 pbc="T T T"
Pr 0.000 0.000 0.000
Ho 2.675 -3.482 -2.230
Ni 1.955 -2.119 0.134
Ni 4.568 -5.533 -2.100
Ni 0.782 -1.431 -2.360
Ni 3.822 -4.142 0.262
Ni 1.442 -4.445 0.516
Ni -1.661 -1.667 -2.110
Ni -0.082 -3.089 -0.808
Ni 2.538 -6.505 -3.016
Ni -0.294 -3.436 -3.211
Ni 2.750 -6.157 -0.614
```


19.
Material: PrHoNi
Method: DFT, GGA-PBE
State: optimized geometry

Values from the calculation:
Theoretical density ... 7.58 g/cm3
Space group ... F-43m
Polymorph energy (0 for the lowest one) ... 0.165 eV/atom
Raw total energy ... -5.139 eV per atom

extended XYZ file:
```
3
Lattice="4.833 0.000 0.000 2.417 4.186 0.000 2.417 1.395 3.946" Properties=species:S:1:pos:R:3 pbc="T T T"
Pr 0.000 0.000 0.000
Ni 2.417 1.395 0.987
Ho 4.833 2.790 1.973
```


20.
Material: PrHo6Ni2
Method: DFT, GGA-PBE
State: optimized geometry

Values from the calculation:
Theoretical density ... 8.69 g/cm3
Space group ... Immm
Raw total energy ... -4.997 eV per atom

extended XYZ file:
```
18
Lattice="8.163 0.244 -2.522 -4.724 6.771 -2.211 0.124 -0.244 8.542" Properties=species:S:1:pos:R:3 pbc="T T T"
Pr -2.300 3.264 3.166
Pr 0.000 0.000 0.000
Ho 2.639 2.136 -0.284
Ho 0.924 4.635 4.094
Ho 3.984 4.879 -2.136
Ho -0.421 1.892 5.945
Ho -1.736 5.076 6.261
Ho 5.299 1.695 -2.452
Ho 2.744 5.320 1.064
Ho 0.818 1.451 2.745
Ho -2.123 6.633 2.923
Ho 5.686 0.138 0.886
Ho 3.946 2.607 3.281
Ho -0.383 4.164 0.528
Ni 2.392 2.485 5.420
Ni 1.171 4.286 -1.611
Ni 3.094 0.000 2.248
Ni 5.192 0.000 3.772
```